A relaxed Ti4AsPt crystal. Source: Alexandria via LeMat-Bulk, functional GGA-PBE.

Cell: 5.158 6.855 6.457 Å, 90.00 90.00 90.00°
Sites, in units of the cell vectors:
As 0.500 0.500 0.000
As 0.000 0.000 0.000
Ti 0.250 0.750 0.243
Ti 0.250 0.250 0.757
Ti 0.750 0.750 0.243
Ti 0.750 0.250 0.757
Ti 0.001 0.857 0.638
Ti 0.999 0.143 0.362
Ti 0.499 0.357 0.362
Ti 0.501 0.643 0.638
Pt 0.500 0.000 0.500
Pt 0.000 0.500 0.500

Calculated values
Space-group type   Pmna (53)
Energy relative to the elements   -442 meV/atom
Total magnetization   0.00 μB/cell



A relaxed Ti2AsPt2 crystal. Source: Alexandria via LeMat-Bulk, functional GGA-PBE.

Cell: 7.350 7.350 3.156 Å, 90.00 90.00 90.00°
Sites, in units of the cell vectors:
As 0.000 0.000 0.000
As 0.500 0.500 0.000
Pt 0.368 0.132 0.500
Pt 0.632 0.868 0.500
Pt 0.132 0.632 0.500
Pt 0.868 0.368 0.500
Ti 0.165 0.335 0.000
Ti 0.335 0.835 0.000
Ti 0.835 0.665 0.000
Ti 0.665 0.165 0.000

Calculated values
Space-group type   P4/mbm (127)
Energy above the most stable polymorph in this dataset   0.049 eV/atom
Energy relative to the elements   -622 meV/atom
Total magnetization   0.00 μB/cell



A relaxed TiAsPt3 crystal. Source: Alexandria via LeMat-Bulk, functional GGA-PBE.

Cell: 4.643 4.643 4.643 Å, 90.00 90.00 90.00°
Sites, in units of the cell vectors:
Pt 0.500 0.000 0.000
Pt 0.000 0.000 0.500
Pt 0.000 0.500 0.000
Ti 0.500 0.500 0.500
As 0.000 0.000 0.000

Calculated values
Space-group type   Pm-3m (221)
Energy above the most stable polymorph in this dataset   0.000 eV/atom
Energy relative to the elements   359 meV/atom
Total magnetization   0.00 μB/cell



A relaxed YTiAsPt2 crystal. Source: Alexandria via LeMat-Bulk, functional GGA-PBE.

Cell: 4.759 4.645 4.759 Å, 90.00 90.00 90.00°
Site moments in Bohr magnetons follow the coordinates.
Sites, in units of the cell vectors:
Y 0.500 0.500 0.500  0.04
As 0.000 0.000 0.000  -0.01
Pt 0.500 0.000 0.000  0.00
Pt 0.000 0.000 0.500  0.00
Ti 0.000 0.500 0.000  0.23

Calculated values
Space-group type   P4/mmm (123)
Energy relative to the elements   -315 meV/atom
Total magnetization   0.36 μB/cell



A relaxed ZrTiAsPt2 crystal. Source: Alexandria via LeMat-Bulk, functional GGA-PBE.

Cell: 4.921 4.893 4.921 Å, 90.00 90.00 90.00°
Sites, in units of the cell vectors:
Ti 0.000 0.500 0.000
As 0.500 0.500 0.500
Zr 0.000 0.000 0.000
Pt 0.000 0.000 0.500
Pt 0.500 0.000 0.000

Calculated values
Space-group type   P4/mmm (123)
Energy relative to the elements   970 meV/atom
Total magnetization   0.00 μB/cell



A relaxed Tl2As2Pt crystal. Source: Alexandria via LeMat-Bulk, functional GGA-PBE.

Cell: 6.372 6.372 6.035 Å, 90.00 90.00 90.00°
Sites, in units of the cell vectors:
Tl 0.317 0.183 0.500
Tl 0.817 0.317 0.500
Tl 0.683 0.817 0.500
Tl 0.183 0.683 0.500
As 0.136 0.364 0.000
As 0.364 0.864 0.000
As 0.636 0.136 0.000
As 0.864 0.636 0.000
Pt 0.000 0.000 0.000
Pt 0.500 0.500 0.000

Calculated values
Space-group type   P4/mbm (127)
Energy above the most stable polymorph in this dataset   0.000 eV/atom
Energy relative to the elements   -154 meV/atom
Total magnetization   0.00 μB/cell